This record from the Alexandria database describes an optimized crystal structure of Be4CuTc. The functional is PBE-GGA.

Unit cell a=6.115 b=6.115 c=6.115 alpha=90.00 beta=90.00 gamma=90.00
Space group F-43m (No. 216)
Inequivalent atoms, fractional coordinates:
Be 0.124 0.124 0.376 [16 per cell]
Cu 0.000 0.000 0.000 [4 per cell]
Tc 0.250 0.250 0.750 [4 per cell]

Calculated values
energy = -4.987 eV per atom
ΔH_f (0 K) = -0.0920 eV per atom